Crystalline Ba3MgMn at its relaxed geometry, computed with PBE.

Cell and atoms, written as CIF:
```
data_Ba3MgMn
_chemical_formula_sum 'Ba3 Mg1 Mn1'
_symmetry_space_group_name_H-M 'P m -3 m'
_symmetry_Int_Tables_number 221
_symmetry_space_group_name_Hall '-P 4 2 3'
_cell_length_a 5.8945
_cell_length_b 5.8945
_cell_length_c 5.8945
_cell_angle_alpha 90.00
_cell_angle_beta 90.00
_cell_angle_gamma 90.00
loop_
_atom_site_label
_atom_site_type_symbol
_atom_site_fract_x
_atom_site_fract_y
_atom_site_fract_z
Ba1 Ba 0.0000 0.0000 0.5000
Mg1 Mg 0.5000 0.5000 0.5000
Mn1 Mn 0.0000 0.0000 0.0000
```

Values from the calculation:
calculated formation energy = 0.590 eV per atom
offset from the most stable computed form = 0.00 eV per formula unit

=====

Crystalline BaMg3Mn at its relaxed geometry, computed with PBE.

Cell and atoms, written as CIF:
```
data_BaMg3Mn
_chemical_formula_sum 'Ba1 Mg3 Mn1'
_symmetry_space_group_name_H-M 'P m -3 m'
_symmetry_Int_Tables_number 221
_symmetry_space_group_name_Hall '-P 4 2 3'
_cell_length_a 6.4045
_cell_length_b 6.4045
_cell_length_c 6.4045
_cell_angle_alpha 90.00
_cell_angle_beta 90.00
_cell_angle_gamma 90.00
loop_
_atom_site_label
_atom_site_type_symbol
_atom_site_fract_x
_atom_site_fract_y
_atom_site_fract_z
Ba1 Ba 0.0000 0.0000 0.0000
Mg1 Mg 0.0000 0.0000 0.5000
Mn1 Mn 0.5000 0.5000 0.5000
```

Values from the calculation:
calculated formation energy = 1.463 eV per atom
offset from the most stable computed form = 6.03 eV per formula unit

=====

Crystalline BaMgMn2 at its relaxed geometry, computed with PBE.

Cell and atoms, written as CIF:
```
data_BaMgMn2
_chemical_formula_sum 'Ba4 Mg4 Mn8'
_symmetry_space_group_name_H-M 'I -4 2 d'
_symmetry_Int_Tables_number 122
_symmetry_space_group_name_Hall 'I -4 2bw'
_cell_length_a 8.2919
_cell_length_b 8.2919
_cell_length_c 6.4410
_cell_angle_alpha 90.00
_cell_angle_beta 90.00
_cell_angle_gamma 90.00
loop_
_atom_site_label
_atom_site_type_symbol
_atom_site_fract_x
_atom_site_fract_y
_atom_site_fract_z
Ba1 Ba 0.0000 0.0000 0.0000
Mg1 Mg 0.0000 0.0000 0.5000
Mn1 Mn 0.2076 0.2500 0.6250
```

Values from the calculation:
calculated formation energy = 0.877 eV per atom
offset from the most stable computed form = 2.06 eV per formula unit

=====

Crystalline BaMg6Mn at its relaxed geometry, computed with PBE.

Cell and atoms, written as CIF:
```
data_BaMg6Mn
_chemical_formula_sum 'Ba2 Mg12 Mn2'
_symmetry_space_group_name_H-M 'A m m 2'
_symmetry_Int_Tables_number 38
_symmetry_space_group_name_Hall 'A 2 -2'
_cell_length_a 4.9255
_cell_length_b 6.3237
_cell_length_c 14.0498
_cell_angle_alpha 90.00
_cell_angle_beta 90.00
_cell_angle_gamma 90.00
loop_
_atom_site_label
_atom_site_type_symbol
_atom_site_fract_x
_atom_site_fract_y
_atom_site_fract_z
Ba1 Ba 0.0000 0.0000 0.0000
Mg1 Mg 0.0000 0.0000 0.4064
Mg2 Mg 0.0000 0.2438 0.7166
Mg3 Mg 0.5000 0.0000 0.5961
Mg4 Mg 0.5000 0.2452 0.8429
Mn1 Mn 0.5000 0.0000 0.1723
```

Values from the calculation:
calculated formation energy = 0.210 eV per atom
offset from the most stable computed form = 0.05 eV per formula unit

=====

Crystalline BaMg2Mn at its relaxed geometry, computed with PBE.

Cell and atoms, written as CIF:
```
data_BaMg2Mn
_chemical_formula_sum 'Ba4 Mg8 Mn4'
_symmetry_space_group_name_H-M 'F m -3 m'
_symmetry_Int_Tables_number 225
_symmetry_space_group_name_Hall '-F 4 2 3'
_cell_length_a 7.4277
_cell_length_b 7.4277
_cell_length_c 7.4277
_cell_angle_alpha 90.00
_cell_angle_beta 90.00
_cell_angle_gamma 90.00
loop_
_atom_site_label
_atom_site_type_symbol
_atom_site_fract_x
_atom_site_fract_y
_atom_site_fract_z
Ba1 Ba 0.0000 0.0000 0.0000
Mg1 Mg 0.2500 0.2500 0.2500
Mn1 Mn 0.0000 0.0000 0.5000
```

Values from the calculation:
calculated formation energy = 0.841 eV per atom

=====

Crystalline BaMgMn2 at its relaxed geometry, computed with PBE.

Cell and atoms, written as CIF:
```
data_BaMgMn2
_chemical_formula_sum 'Ba1 Mg1 Mn2'
_symmetry_space_group_name_H-M 'P 4/m m m'
_symmetry_Int_Tables_number 123
_symmetry_space_group_name_Hall '-P 4 2'
_cell_length_a 5.2605
_cell_length_b 5.2605
_cell_length_c 3.5686
_cell_angle_alpha 90.00
_cell_angle_beta 90.00
_cell_angle_gamma 90.00
loop_
_atom_site_label
_atom_site_type_symbol
_atom_site_fract_x
_atom_site_fract_y
_atom_site_fract_z
Ba1 Ba 0.0000 0.0000 0.0000
Mg1 Mg 0.5000 0.5000 0.0000
Mn1 Mn 0.0000 0.5000 0.5000
```

Values from the calculation:
calculated formation energy = 0.742 eV per atom
offset from the most stable computed form = 1.52 eV per formula unit

=====

What is the calculated formation energy in the first record? 0.590 eV per atom

=====

Which formula does entry 5 have? BaMg2Mn

=====

Which of these has the lowest calculated formation energy? BaMg6Mn

=====

Number 6 is which compound? BaMgMn2